Material: CoSnSe2F
Method: DFT, PBE+U
State: optimized geometry

Uncorrected energy: -3.80 eV/atom
Space group: No. 123
Crystal system: tetragonal

abc: 5.3014 4.2065 5.3014
angles: 90.00 90.00 90.00
Site moments in Bohr magnetons follow the coordinates.
Fractional positions:
Sn  0.0000  0.0000  0.0000  -0.01
F  0.0000  0.5000  0.0000  0.00
Se  0.5000  0.0000  0.0000  0.08
Se  0.0000  0.0000  0.5000  0.07
Co  0.5000  0.5000  0.5000  2.63